First-principles (GGA-PBE) data for crystalline NaHf3Bi at its relaxed geometry, as listed in Alexandria.

energy relative to the lowest polymorph listed for this composition = 0.13 eV per formula unit

a b c (Å): 5.0088 5.0088 5.0088
angles (deg): 90.00 90.00 90.00
With the nearest neighbours (Å) after each atom.
Space group Pm-3m (No. 221)
One atom of each set of equivalent atoms:
1 Na 0.0000 0.0000 0.0000  6 Hf 2.50
2 Hf 0.0000 0.0000 0.5000  2 Na 2.50
3 Bi 0.5000 0.5000 0.5000  12 Hf 3.54